! PBE TlV2Cd2, relaxed; values from VASP
! Energy above the lowest structure with this stoichiometry   0.00 eV/f.u.
! Total moment   0.000 μB per atom
! E_tot   -20.345 eV per formula unit
! D(E_F)   2.449 states/eV/f.u.
&SYSTEM
  ibrav = 0, nat = 10, ntyp = 3
/
ATOMIC_SPECIES
Cd 112.41 Cd.upf
V 50.94 V.upf
Tl 204.38 Tl.upf
ATOMIC_POSITIONS angstrom
Cd 2.354 1.628 1.621
Cd 6.336 2.354 1.621
Cd 5.610 6.336 1.621
Cd 1.628 5.610 1.621
V 7.296 4.650 0.000
V 3.314 7.296 0.000
V 0.668 3.314 0.000
V 4.650 0.668 0.000
Tl 0.000 0.000 0.000
Tl 3.982 3.982 0.000
CELL_PARAMETERS angstrom
7.964 0.000 0.000
0.000 7.964 0.000
0.000 0.000 3.241